1.
Na3Cd2Hg6 | PBE | optimized geometry

Results
Fermi-level density of states = 0.50 states/eV/atom
Raw total energy = -0.780 eV/atom

Lattice parameters (Å, degrees): 4.4114 4.4114 16.2211 97.82 97.82 90.00
Positions (direct):
Na (0.0000, 0.0000, 0.0000)
Na (0.1713, 0.1713, 0.3425)
Na (0.8287, 0.8287, 0.6575)
Hg (0.5732, 0.0732, 0.1464)
Hg (0.7309, 0.7309, 0.4619)
Hg (0.4268, 0.9268, 0.8536)
Hg (0.0732, 0.5732, 0.1464)
Hg (0.2691, 0.2691, 0.5381)
Hg (0.9268, 0.4268, 0.8536)
Cd (0.3608, 0.3608, 0.7217)
Cd (0.6392, 0.6392, 0.2783)

---

2.
Na2CdHg4 | PBE | optimized geometry

Results
Fermi-level density of states = 0.31 states/eV/atom
Raw total energy = -0.774 eV/atom
Distance to the lowest polymorph of the same formula = 0 meV/atom

Lattice parameters (Å, degrees): 3.4602 4.6526 11.3684 101.81 90.00 90.00
Positions (direct):
Hg (0.5000, 0.9318, 0.8636)
Hg (0.0000, 0.3527, 0.7054)
Hg (0.0000, 0.6473, 0.2946)
Hg (0.5000, 0.0682, 0.1364)
Cd (0.0000, 0.5000, 0.0000)
Na (0.5000, 0.7961, 0.5922)
Na (0.5000, 0.2039, 0.4078)

---

3.
Na2CdHg2 | PBE | optimized geometry

Results
Fermi-level density of states = 0.46 states/eV/atom
Raw total energy = -1.008 eV/atom
Distance to the lowest polymorph of the same formula = 26 meV/atom

Lattice parameters (Å, degrees): 8.1337 8.1337 4.0205 90.00 90.00 90.00
Positions (direct):
Cd (0.0000, 0.0000, 0.0000)
Cd (0.5000, 0.5000, 0.0000)
Na (0.1670, 0.6670, 0.5000)
Na (0.3330, 0.1670, 0.5000)
Na (0.6670, 0.8330, 0.5000)
Na (0.8330, 0.3330, 0.5000)
Hg (0.3664, 0.8664, 0.0000)
Hg (0.1336, 0.3664, 0.0000)
Hg (0.6336, 0.1336, 0.0000)
Hg (0.8664, 0.6336, 0.0000)

---

Q: Look up the Fermi-level density of states of the second one.
A: 0.31 states/eV/atom